[1]
Ac2PrSi3Pt12 (PBE-GGA, relaxed); uncorrected formation energy = -0.5362 eV/atom
1.0
4.1932 2.4209 6.3296
-4.1932 2.4209 6.3296
0.0000 -4.8419 6.3296
Ac Pr Si Pt
2 1 3 12
Direct
0.1013 0.1013 0.1013
0.8987 0.8987 0.8987
0.5000 0.5000 0.5000
0.0000 0.5000 0.5000
0.5000 0.0000 0.5000
0.5000 0.5000 0.0000
0.0889 0.6420 0.6420
0.1559 0.1559 0.5993
0.1559 0.5993 0.1559
0.3580 0.3580 0.9111
0.3580 0.9111 0.3580
0.4007 0.8441 0.8441
0.5993 0.1559 0.1559
0.6420 0.0889 0.6420
0.6420 0.6420 0.0889
0.8441 0.4007 0.8441
0.8441 0.8441 0.4007
0.9111 0.3580 0.3580

[2]
RbScCo2Pb (PBE-GGA, relaxed); energy of formation from the pure elements = 1877.6 meV per atom
1.0
4.6480 0.0000 0.0000
0.0000 4.6480 0.0000
0.0000 0.0000 5.9728
Rb Sc Co Pb
1 1 2 1
Direct
0.0000 0.0000 0.0000
0.5000 0.5000 0.5000
0.0000 0.5000 0.0000
0.5000 0.0000 0.0000
0.0000 0.0000 0.5000

It is found that the calculated total energy values, taken in the order of the records, are -6.19; -3.17 eV/atom.
It is found that the theoretical density values, taken in the order of the records, are 13.0; 5.9 Mg/m³.